The following is a DFT calculation (GGA-PBE) of an optimized crystal structure of TlOsCl2.

Cell and atoms, written as CIF:
```
data_TlOsCl2
_chemical_formula_sum 'Tl1 Os1 Cl2'
_cell_length_a 2.953
_cell_length_b 4.566
_cell_length_c 6.925
_cell_angle_alpha 90.00
_cell_angle_beta 90.15
_cell_angle_gamma 90.00
_symmetry_space_group_name_H-M 'P 1'
_symmetry_Int_Tables_number 1
loop_
_symmetry_equiv_pos_as_xyz
'x,y,z'
loop_
_atom_site_label
_atom_site_type_symbol
_atom_site_fract_x
_atom_site_fract_y
_atom_site_fract_z
Tl1 Tl 0.000 0.000 0.000
Os1 Os 0.493 0.500 0.661
Cl1 Cl 0.491 0.500 0.328
Cl2 Cl 0.493 0.000 0.588
```

The value obtained for the size of the total moment is 0.00 μB/f.u. The value obtained for the formation energy (no corrections) is 0.402 eV/atom. As for the total energy: -3.921 eV per atom.

---

The following is a DFT calculation (GGA-PBE) of an optimized crystal structure of TlOsCl4.

Cell and atoms, written as CIF:
```
data_TlOsCl4
_chemical_formula_sum 'Tl2 Os2 Cl8'
_cell_length_a 9.477
_cell_length_b 9.477
_cell_length_c 5.117
_cell_angle_alpha 103.35
_cell_angle_beta 103.35
_cell_angle_gamma 44.39
_symmetry_space_group_name_H-M 'P 1'
_symmetry_Int_Tables_number 1
loop_
_symmetry_equiv_pos_as_xyz
'x,y,z'
loop_
_atom_site_label
_atom_site_type_symbol
_atom_site_fract_x
_atom_site_fract_y
_atom_site_fract_z
Tl1 Tl 0.212 0.212 0.221
Tl2 Tl 0.788 0.788 0.779
Os1 Os 0.453 0.453 0.625
Os2 Os 0.547 0.547 0.375
Cl1 Cl 0.136 0.628 0.387
Cl2 Cl 0.291 0.709 0.000
Cl3 Cl 0.316 0.316 0.797
Cl4 Cl 0.372 0.864 0.613
Cl5 Cl 0.628 0.136 0.387
Cl6 Cl 0.684 0.684 0.203
Cl7 Cl 0.709 0.291 0.000
Cl8 Cl 0.864 0.372 0.613
```

The value obtained for the size of the total moment is 0.00 μB/f.u. The value obtained for the formation energy (no corrections) is -0.503 eV/atom. As for the total energy: -4.000 eV per atom.

---

The following is a DFT calculation (GGA-PBE) of an optimized crystal structure of TlOsCl2.

Cell and atoms, written as CIF:
```
data_TlOsCl2
_chemical_formula_sum 'Tl1 Os1 Cl2'
_cell_length_a 8.361
_cell_length_b 8.361
_cell_length_c 8.361
_cell_angle_alpha 24.70
_cell_angle_beta 24.70
_cell_angle_gamma 24.70
_symmetry_space_group_name_H-M 'P 1'
_symmetry_Int_Tables_number 1
loop_
_symmetry_equiv_pos_as_xyz
'x,y,z'
loop_
_atom_site_label
_atom_site_type_symbol
_atom_site_fract_x
_atom_site_fract_y
_atom_site_fract_z
Tl1 Tl 0.000 0.000 0.000
Os1 Os 0.250 0.250 0.250
Cl1 Cl 0.538 0.538 0.538
Cl2 Cl 0.747 0.747 0.747
```

The value obtained for the size of the total moment is 0.00 μB/f.u. The value obtained for the formation energy (no corrections) is 0.358 eV/atom. As for the total energy: -3.964 eV per atom.

---

The following is a DFT calculation (GGA-PBE) of an optimized crystal structure of TlOsCl2.

Cell and atoms, written as CIF:
```
data_TlOsCl2
_chemical_formula_sum 'Tl1 Os1 Cl2'
_cell_length_a 3.004
_cell_length_b 4.079
_cell_length_c 7.279
_cell_angle_alpha 90.00
_cell_angle_beta 90.00
_cell_angle_gamma 90.00
_symmetry_space_group_name_H-M 'P 1'
_symmetry_Int_Tables_number 1
loop_
_symmetry_equiv_pos_as_xyz
'x,y,z'
loop_
_atom_site_label
_atom_site_type_symbol
_atom_site_fract_x
_atom_site_fract_y
_atom_site_fract_z
Tl1 Tl 0.000 0.000 0.000
Os1 Os 0.500 0.500 0.635
Cl1 Cl 0.000 0.000 0.591
Cl2 Cl 0.500 0.500 0.317
```

The value obtained for the size of the total moment is 0.00 μB/f.u. The value obtained for the formation energy (no corrections) is 0.503 eV/atom. As for the total energy: -3.819 eV per atom.

---

The following is a DFT calculation (GGA-PBE) of an optimized crystal structure of TlOsCl2.

Cell and atoms, written as CIF:
```
data_TlOsCl2
_chemical_formula_sum 'Tl1 Os1 Cl2'
_cell_length_a 3.048
_cell_length_b 3.583
_cell_length_c 8.778
_cell_angle_alpha 90.00
_cell_angle_beta 90.50
_cell_angle_gamma 90.00
_symmetry_space_group_name_H-M 'P 1'
_symmetry_Int_Tables_number 1
loop_
_symmetry_equiv_pos_as_xyz
'x,y,z'
loop_
_atom_site_label
_atom_site_type_symbol
_atom_site_fract_x
_atom_site_fract_y
_atom_site_fract_z
Tl1 Tl 0.000 0.000 0.000
Os1 Os 0.500 0.000 0.500
Cl1 Cl 0.496 0.500 0.328
Cl2 Cl 0.504 0.500 0.672
```

The value obtained for the size of the total moment is 0.23 μB/f.u. The value obtained for the formation energy (no corrections) is 0.213 eV/atom. As for the total energy: -4.109 eV per atom.

---

The following is a DFT calculation (GGA-PBE) of an optimized crystal structure of TlOsCl2.

Cell and atoms, written as CIF:
```
data_TlOsCl2
_chemical_formula_sum 'Tl1 Os1 Cl2'
_cell_length_a 5.550
_cell_length_b 5.550
_cell_length_c 3.045
_cell_angle_alpha 90.00
_cell_angle_beta 90.00
_cell_angle_gamma 90.36
_symmetry_space_group_name_H-M 'P 1'
_symmetry_Int_Tables_number 1
loop_
_symmetry_equiv_pos_as_xyz
'x,y,z'
loop_
_atom_site_label
_atom_site_type_symbol
_atom_site_fract_x
_atom_site_fract_y
_atom_site_fract_z
Tl1 Tl 0.000 0.000 0.000
Os1 Os 0.500 0.500 0.000
Cl1 Cl 0.000 0.500 0.000
Cl2 Cl 0.500 0.000 0.000
```

The value obtained for the size of the total moment is 2.48 μB/f.u. The value obtained for the formation energy (no corrections) is 0.799 eV/atom. As for the total energy: -3.523 eV per atom.

---

The following is a DFT calculation (GGA-PBE) of an optimized crystal structure of Tm2OsCl.

Cell and atoms, written as CIF:
```
data_Tm2OsCl
_chemical_formula_sum 'Tm2 Os1 Cl1'
_cell_length_a 3.316
_cell_length_b 3.316
_cell_length_c 7.926
_cell_angle_alpha 90.00
_cell_angle_beta 90.00
_cell_angle_gamma 90.00
_symmetry_space_group_name_H-M 'P 1'
_symmetry_Int_Tables_number 1
loop_
_symmetry_equiv_pos_as_xyz
'x,y,z'
loop_
_atom_site_label
_atom_site_type_symbol
_atom_site_fract_x
_atom_site_fract_y
_atom_site_fract_z
Tm1 Tm 0.000 0.000 0.209
Tm2 Tm 0.000 0.000 0.791
Os1 Os 0.500 0.500 0.000
Cl1 Cl 0.500 0.500 0.500
```

The value obtained for the size of the total moment is 0.00 μB/f.u. The value obtained for the formation energy (no corrections) is -0.844 eV/atom. As for the total energy: -6.349 eV per atom.

---

The following is a DFT calculation (GGA-PBE) of an optimized crystal structure of Tm2OsCl.

Cell and atoms, written as CIF:
```
data_Tm2OsCl
_chemical_formula_sum 'Tm2 Os1 Cl1'
_cell_length_a 7.732
_cell_length_b 7.732
_cell_length_c 7.732
_cell_angle_alpha 29.22
_cell_angle_beta 29.22
_cell_angle_gamma 29.22
_symmetry_space_group_name_H-M 'P 1'
_symmetry_Int_Tables_number 1
loop_
_symmetry_equiv_pos_as_xyz
'x,y,z'
loop_
_atom_site_label
_atom_site_type_symbol
_atom_site_fract_x
_atom_site_fract_y
_atom_site_fract_z
Tm1 Tm 0.235 0.235 0.235
Tm2 Tm 0.765 0.765 0.765
Os1 Os 0.500 0.500 0.500
Cl1 Cl 0.000 0.000 0.000
```

The value obtained for the size of the total moment is 0.00 μB/f.u. The value obtained for the formation energy (no corrections) is -0.707 eV/atom. As for the total energy: -6.212 eV per atom.

---

The following is a DFT calculation (GGA-PBE) of an optimized crystal structure of VOs3Cl.

Cell and atoms, written as CIF:
```
data_VOs3Cl
_chemical_formula_sum 'V1 Os3 Cl1'
_cell_length_a 4.334
_cell_length_b 4.334
_cell_length_c 4.334
_cell_angle_alpha 90.00
_cell_angle_beta 90.00
_cell_angle_gamma 90.00
_symmetry_space_group_name_H-M 'P 1'
_symmetry_Int_Tables_number 1
loop_
_symmetry_equiv_pos_as_xyz
'x,y,z'
loop_
_atom_site_label
_atom_site_type_symbol
_atom_site_fract_x
_atom_site_fract_y
_atom_site_fract_z
V1 V 0.000 0.000 0.000
Os1 Os 0.000 0.500 0.500
Os2 Os 0.500 0.000 0.500
Os3 Os 0.500 0.500 0.000
Cl1 Cl 0.500 0.500 0.500
```

The value obtained for the size of the total moment is 1.81 μB/f.u. The value obtained for the formation energy (no corrections) is 1.803 eV/atom. As for the total energy: -7.128 eV per atom.

---

The following is a DFT calculation (GGA-PBE) of an optimized crystal structure of VOs3Cl.

Cell and atoms, written as CIF:
```
data_VOs3Cl
_chemical_formula_sum 'V1 Os3 Cl1'
_cell_length_a 4.595
_cell_length_b 4.595
_cell_length_c 4.595
_cell_angle_alpha 90.00
_cell_angle_beta 90.00
_cell_angle_gamma 90.00
_symmetry_space_group_name_H-M 'P 1'
_symmetry_Int_Tables_number 1
loop_
_symmetry_equiv_pos_as_xyz
'x,y,z'
loop_
_atom_site_label
_atom_site_type_symbol
_atom_site_fract_x
_atom_site_fract_y
_atom_site_fract_z
V1 V 0.000 0.000 0.000
Os1 Os 0.000 0.000 0.500
Os2 Os 0.000 0.500 0.000
Os3 Os 0.500 0.000 0.000
Cl1 Cl 0.500 0.500 0.500
```

The value obtained for the size of the total moment is 3.58 μB/f.u. The value obtained for the formation energy (no corrections) is 2.169 eV/atom. As for the total energy: -6.762 eV per atom.

---

The following is a DFT calculation (GGA-PBE) of an optimized crystal structure of VOsCl.

Cell and atoms, written as CIF:
```
data_VOsCl
_chemical_formula_sum 'V2 Os2 Cl2'
_cell_length_a 13.816
_cell_length_b 2.864
_cell_length_c 2.864
_cell_angle_alpha 61.69
_cell_angle_beta 90.00
_cell_angle_gamma 90.00
_symmetry_space_group_name_H-M 'P 1'
_symmetry_Int_Tables_number 1
loop_
_symmetry_equiv_pos_as_xyz
'x,y,z'
loop_
_atom_site_label
_atom_site_type_symbol
_atom_site_fract_x
_atom_site_fract_y
_atom_site_fract_z
V1 V 0.000 0.000 0.000
V2 V 0.500 0.077 0.077
Os1 Os 0.362 0.675 0.675
Os2 Os 0.638 0.675 0.675
Cl1 Cl 0.122 0.337 0.337
Cl2 Cl 0.878 0.337 0.337
```

The value obtained for the size of the total moment is 0.00 μB/f.u. The value obtained for the formation energy (no corrections) is 0.017 eV/atom. As for the total energy: -7.382 eV per atom.

---

The following is a DFT calculation (GGA-PBE) of an optimized crystal structure of VOs2Cl.

Cell and atoms, written as CIF:
```
data_VOs2Cl
_chemical_formula_sum 'V1 Os2 Cl1'
_cell_length_a 4.347
_cell_length_b 4.347
_cell_length_c 4.347
_cell_angle_alpha 60.00
_cell_angle_beta 60.00
_cell_angle_gamma 60.00
_symmetry_space_group_name_H-M 'P 1'
_symmetry_Int_Tables_number 1
loop_
_symmetry_equiv_pos_as_xyz
'x,y,z'
loop_
_atom_site_label
_atom_site_type_symbol
_atom_site_fract_x
_atom_site_fract_y
_atom_site_fract_z
V1 V 0.000 0.000 0.000
Os1 Os 0.250 0.250 0.250
Os2 Os 0.750 0.750 0.750
Cl1 Cl 0.500 0.500 0.500
```

The value obtained for the size of the total moment is 0.00 μB/f.u. The value obtained for the formation energy (no corrections) is 0.984 eV/atom. As for the total energy: -7.372 eV per atom.